Computed, not measured: an optimized crystal structure of Be2ZnSe at the GGA-PBEsol level of DFT.

The density of states at the Fermi level comes out at 0.34 states/eV per atom. The value obtained for the relative energy among the computed polymorphs is 114 meV/atom. For the electronic total energy, the calculation gives -2.992 eV/atom.

It has space group P4mm (No. 99), with a = 2.605 Å, b = 2.605 Å, c = 8.256 Å, α = 90.00°, β = 90.00° and γ = 90.00°. The distinct sites, in fractional coordinates, are Be at (0.000, 0.000, 0.000), Be at (0.500, 0.500, 0.143), Zn at (0.500, 0.500, 0.805) and Se at (0.000, 0.000, 0.454).